Record 1
{
  "formula": "LaRuAuN2",
  "functional": "meta-GGA SCAN",
  "state": "single point on PBEsol structure",
  "lattice": [[3.933, 0.000, 0.000], [0.000, 3.933, 0.000], [0.000, 0.000, 5.718]],
  "species": ["La", "Ru", "Au", "N", "N"],
  "fractional_positions": [[0.000, 0.000, 0.000], [0.000, 0.000, 0.500], [0.500, 0.500, 0.000], [0.000, 0.500, 0.500], [0.500, 0.000, 0.500]],
  "dft_energy_ev_per_atom": -32.703,
  "m_tot_mub_per_fu": 0.00
}

=====

Record 2
{
  "formula": "LaAuSeN2",
  "functional": "meta-GGA SCAN",
  "state": "single point on PBEsol structure",
  "lattice": [[4.204, 0.000, 0.000], [0.000, 4.204, 0.000], [0.000, 0.000, 4.912]],
  "species": ["La", "Au", "Se", "N", "N"],
  "fractional_positions": [[0.000, 0.000, 0.000], [0.500, 0.500, 0.500], [0.500, 0.500, 0.000], [0.000, 0.500, 0.500], [0.500, 0.000, 0.500]],
  "dft_energy_ev_per_atom": -29.812,
  "m_tot_mub_per_fu": 1.55
}

=====

no.,formation energy (no corrections) (eV per atom)
1,0.43
2,0.37